This record from Alexandria describes an optimized crystal structure of Cs3Te3Pb. The functional is GGA-PBE.

Geometry as extended XYZ:
```
28
Lattice="8.280 0.000 0.000 -4.140 11.642 0.000 0.000 0.000 15.619" Properties=species:S:1:pos:R:3 pbc="T T T"
Cs 5.522 0.000 13.180
Cs 6.898 0.000 5.371
Cs 1.382 0.000 10.248
Cs 2.758 0.000 2.438
Cs 5.522 7.540 5.800
Cs 2.759 4.102 13.609
Cs 5.522 4.102 2.009
Cs 2.759 7.540 9.819
Cs -1.382 4.102 9.819
Cs 1.382 7.540 2.009
Cs -1.382 7.540 13.609
Cs 1.382 4.102 5.800
Te 1.841 0.000 14.091
Te 2.300 0.000 6.282
Te 5.981 0.000 9.337
Te 6.440 0.000 1.528
Te 1.530 7.990 5.941
Te 6.751 3.652 13.751
Te 1.530 3.652 1.868
Te -1.530 7.990 9.677
Te 2.611 3.652 9.677
Te -2.611 7.990 1.868
Te 2.611 7.990 13.751
Te 5.670 3.652 5.941
Pb 0.000 9.690 7.809
Pb 0.000 1.952 0.000
Pb 4.140 1.952 7.809
Pb 4.140 9.690 0.000
```

## Properties
Total DFT energy (no corrections), eV per atom: -3.042
Crystal system: orthorhombic


This record from Alexandria describes an optimized crystal structure of CsTePb. The functional is GGA-PBE.

Geometry as extended XYZ:
```
12
Lattice="8.136 0.000 -0.003 0.000 4.553 0.000 -2.436 0.000 20.753" Properties=species:S:1:pos:R:3 pbc="T T T"
Pb 0.741 0.000 12.274
Pb 1.959 2.277 1.897
Pb 0.182 0.000 9.257
Pb -1.036 2.277 19.634
Cs 4.373 0.000 10.268
Cs 3.156 2.277 20.645
Cs 1.248 0.000 5.357
Cs 0.030 2.277 15.734
Te 0.823 0.000 18.674
Te 2.041 2.277 8.297
Te -0.059 0.000 1.788
Te -1.277 2.277 12.165
```

## Properties
Total DFT energy (no corrections), eV per atom: -3.114
Crystal system: monoclinic


This record from Alexandria describes an optimized crystal structure of Cs3Te4Pb. The functional is GGA-PBE.

Geometry as extended XYZ:
```
8
Lattice="-2.649 -1.259 -5.064 -2.984 -5.623 2.959 -5.084 9.071 3.786" Properties=species:S:1:pos:R:3 pbc="T T T"
Cs -3.148 2.243 1.089
Cs -7.568 -0.055 0.591
Cs -1.492 -2.812 1.479
Te -6.672 3.122 2.714
Te -4.044 -0.934 -1.034
Te -5.301 -3.303 0.213
Te -5.415 5.491 1.468
Pb -1.325 -0.630 -2.532
```

## Properties
Total DFT energy (no corrections), eV per atom: -3.051
Crystal system: orthorhombic


This record from Alexandria describes an optimized crystal structure of CsTePb. The functional is GGA-PBE.

Geometry as extended XYZ:
```
6
Lattice="5.740 0.000 0.000 1.997 6.612 0.000 0.225 2.056 8.356" Properties=species:S:1:pos:R:3 pbc="T T T"
Pb 1.389 1.442 5.470
Pb 4.086 2.653 6.567
Cs 6.511 5.496 7.662
Cs 6.220 6.662 2.799
Te 3.335 5.047 4.836
Te 3.416 6.254 0.096
```

## Properties
Total DFT energy (no corrections), eV per atom: -3.134
Crystal system: triclinic


This record from Alexandria describes an optimized crystal structure of CsTePb. The functional is GGA-PBE.

Geometry as extended XYZ:
```
6
Lattice="-0.800 3.144 5.416 -3.180 -2.577 4.811 6.185 -3.385 7.877" Properties=species:S:1:pos:R:3 pbc="T T T"
Pb -2.927 0.326 8.375
Pb 5.132 -3.144 9.730
Cs 1.177 -1.017 5.090
Cs 1.028 -1.800 13.014
Te -2.279 -0.259 11.512
Te 4.484 -2.558 6.593
```

## Properties
Total DFT energy (no corrections), eV per atom: -3.108
Crystal system: triclinic


This record from Alexandria describes an optimized crystal structure of Cs2TePb. The functional is GGA-PBE.

Geometry as extended XYZ:
```
4
Lattice="-2.791 -5.892 0.133 1.499 -4.211 4.748 -4.394 -1.423 4.604" Properties=species:S:1:pos:R:3 pbc="T T T"
Pb -2.843 -5.763 4.743
Cs -1.422 -2.882 2.371
Cs -4.265 -8.645 7.114
Te 0.000 0.000 0.000
```

## Properties
Total DFT energy (no corrections), eV per atom: -2.379
Crystal system: cubic


This record from Alexandria describes an optimized crystal structure of Cs2Te2Pb. The functional is GGA-PBE.

Geometry as extended XYZ:
```
10
Lattice="-6.494 -4.384 0.850 4.473 -5.784 4.339 -0.638 8.821 4.085" Properties=species:S:1:pos:R:3 pbc="T T T"
Cs -2.927 -1.462 6.633
Cs 0.268 0.115 2.642
Cs 0.009 -5.941 5.965
Cs -2.668 4.594 3.309
Te -0.339 1.690 6.123
Te -2.320 -3.037 3.152
Te 2.818 -3.290 4.561
Te -5.477 1.943 4.713
Pb -2.634 -6.180 2.807
Pb 0.613 -3.988 2.382
```

## Properties
Total DFT energy (no corrections), eV per atom: -3.155
Crystal system: orthorhombic


This record from Alexandria describes an optimized crystal structure of Cs2Te3Pb. The functional is GGA-PBE.

Geometry as extended XYZ:
```
24
Lattice="5.472 0.000 0.000 0.000 8.098 0.000 0.000 0.000 26.596" Properties=species:S:1:pos:R:3 pbc="T T T"
Cs 1.368 5.078 15.433
Cs 4.104 7.069 2.135
Cs 1.368 1.029 24.461
Cs 4.104 3.020 11.163
Cs 1.368 5.432 20.524
Cs 4.104 6.715 7.226
Cs 1.368 1.383 19.371
Cs 4.104 2.666 6.072
Te 1.368 5.681 26.155
Te 4.104 6.466 12.856
Te 1.368 1.632 13.740
Te 4.104 2.417 0.442
Te 1.368 0.005 4.639
Te 4.104 4.044 17.937
Te 1.368 4.054 8.659
Te 4.104 8.093 21.957
Te 1.368 5.311 4.374
Te 4.104 6.836 17.673
Te 1.368 1.262 8.924
Te 4.104 2.787 22.222
Pb 1.368 7.605 11.613
Pb 4.104 4.542 24.911
Pb 1.368 3.556 1.685
Pb 4.104 0.493 14.983
```

## Properties
Total DFT energy (no corrections), eV per atom: -3.161
Crystal system: orthorhombic


This record from Alexandria describes an optimized crystal structure of Cs3ThTe6Pb2. The functional is GGA-PBE.

Geometry as extended XYZ:
```
12
Lattice="-5.932 -5.583 -0.718 7.778 -2.387 0.827 -1.590 2.543 8.848" Properties=species:S:1:pos:R:3 pbc="T T T"
Cs 4.627 -1.664 4.985
Cs -4.372 -3.762 3.971
Cs 0.128 -2.713 4.478
Th 0.000 0.000 0.000
Te -2.060 -4.638 6.963
Te 1.061 -5.431 1.820
Te 2.316 -0.789 1.994
Te 2.357 -3.608 7.461
Te -0.805 0.004 7.136
Te -2.101 -1.818 1.496
Pb 3.195 -3.455 0.310
Pb -1.350 -4.515 -0.202
```

## Properties
Total DFT energy (no corrections), eV per atom: -3.891
Crystal system: monoclinic


This record from Alexandria describes an optimized crystal structure of Cs3Th3Te8Pb. The functional is GGA-PBE.

Geometry as extended XYZ:
```
15
Lattice="-5.224 -5.447 -5.314 4.010 -3.417 7.578 -8.222 6.336 1.588" Properties=species:S:1:pos:R:3 pbc="T T T"
Cs 0.000 0.000 0.000
Cs 2.005 -1.709 3.789
Cs -0.607 -4.432 1.132
Th -6.723 0.444 -1.863
Th -4.718 -1.264 1.926
Th -2.106 1.459 4.583
Te -1.749 -1.365 3.118
Te -7.687 -1.163 0.733
Te -4.389 -3.996 0.394
Te -5.047 1.467 3.457
Te -6.306 -2.363 -3.228
Te -3.130 -0.165 7.079
Te -3.809 0.241 -0.687
Te -5.627 -2.769 4.538
Pb -4.111 3.168 0.794
```

## Properties
Total DFT energy (no corrections), eV per atom: -4.691
Crystal system: trigonal


This record from Alexandria describes an optimized crystal structure of Cs2UTe6Pb2. The functional is GGA-PBE.

Geometry as extended XYZ:
```
11
Lattice="7.955 0.017 0.036 -3.917 6.924 0.036 -1.480 -2.544 8.957" Properties=species:S:1:pos:R:3 pbc="T T T"
Cs 5.872 1.228 0.036
Cs -1.835 5.712 0.036
U -0.740 -1.272 4.478
Te 2.075 3.567 6.202
Te -1.914 0.822 6.199
Te 0.482 0.829 2.826
Te 1.661 -1.258 6.199
Te 4.472 3.574 2.830
Te 0.896 5.654 2.830
Pb -0.742 3.374 4.514
Pb 3.300 1.022 4.514
```

## Properties
Total DFT energy (no corrections), eV per atom: -4.247
Crystal system: monoclinic


This record from Alexandria describes an optimized crystal structure of CsUTe3Pb. The functional is GGA-PBE.

Geometry as extended XYZ:
```
12
Lattice="4.600 0.000 0.000 0.000 9.915 -0.713 0.000 -3.248 11.691" Properties=species:S:1:pos:R:3 pbc="T T T"
Cs 1.150 1.328 2.942
Cs 3.450 5.339 8.036
U 1.150 5.833 1.327
U 3.450 0.834 9.651
Te 3.450 8.024 1.559
Te 1.150 -1.357 9.419
Te 1.150 5.120 4.405
Te 3.450 1.547 6.573
Te 3.450 3.735 1.030
Te 1.150 2.932 9.948
Pb 1.150 -0.457 6.563
Pb 3.450 7.124 4.415
```

## Properties
Total DFT energy (no corrections), eV per atom: -4.871
Crystal system: monoclinic


This record from Alexandria describes an optimized crystal structure of Cs3UTe6Pb2. The functional is GGA-PBE.

Geometry as extended XYZ:
```
12
Lattice="8.194 0.007 0.005 -4.089 7.101 0.005 -1.365 -2.363 8.763" Properties=species:S:1:pos:R:3 pbc="T T T"
Cs -2.612 4.673 4.386
Cs 5.352 0.073 4.386
Cs 1.370 2.373 4.386
U 0.000 0.000 0.000
Te 4.002 2.561 7.109
Te 2.849 4.933 1.702
Te -1.261 2.185 1.663
Te 0.218 4.746 7.109
Te -0.108 -0.187 7.070
Te 2.523 0.000 1.663
Pb 0.024 4.726 0.005
Pb 4.081 2.383 0.005
```

## Properties
Total DFT energy (no corrections), eV per atom: -4.130
Crystal system: monoclinic


This record from Alexandria describes an optimized crystal structure of Cs3ZrTe6Pb2. The functional is GGA-PBE.

Geometry as extended XYZ:
```
12
Lattice="-3.750 -1.928 -6.795 -1.817 -3.822 6.786 -4.382 7.940 1.731" Properties=species:S:1:pos:R:3 pbc="T T T"
Cs -4.347 0.481 5.267
Cs -5.601 1.710 -3.546
Cs -4.974 1.095 0.861
Zr 0.000 0.000 0.000
Te -8.226 2.228 -0.677
Te -5.066 -2.850 0.324
Te -1.722 -0.038 2.398
Te -7.635 1.649 3.475
Te -4.882 5.041 1.398
Te -2.313 0.541 -1.754
Pb -2.464 -3.188 2.241
Pb -3.103 -2.562 -2.251
```

## Properties
Total DFT energy (no corrections), eV per atom: -3.882
Crystal system: monoclinic


This record from Alexandria describes an optimized crystal structure of CsThPb2. The functional is GGA-PBE.

Geometry as extended XYZ:
```
4
Lattice="4.298 0.000 0.000 0.000 4.298 0.000 0.000 0.000 8.515" Properties=species:S:1:pos:R:3 pbc="T T T"
Pb 0.000 0.000 6.975
Pb 0.000 0.000 1.540
Cs 2.149 2.149 4.258
Th 2.149 2.149 0.000
```

## Properties
Total DFT energy (no corrections), eV per atom: -4.075
Formation energy from the elements, eV/atom: -0.1527
Crystal system: tetragonal


This record from Alexandria describes an optimized crystal structure of CsThPb2. The functional is GGA-PBE.

Geometry as extended XYZ:
```
4
Lattice="3.674 0.000 0.000 1.837 3.182 0.000 1.837 1.061 12.138" Properties=species:S:1:pos:R:3 pbc="T T T"
Pb 5.511 3.182 9.360
Pb 1.837 1.061 2.777
Cs 3.674 2.121 6.069
Th 0.000 0.000 0.000
```

## Properties
Total DFT energy (no corrections), eV per atom: -3.957
Formation energy from the elements, eV/atom: -0.0347
Crystal system: trigonal


This record from Alexandria describes an optimized crystal structure of CsTiPb3. The functional is GGA-PBE.

Geometry as extended XYZ:
```
5
Lattice="-2.111 -4.362 3.712 5.622 -2.336 0.452 1.097 3.575 4.825" Properties=species:S:1:pos:R:3 pbc="T T T"
Pb 2.811 -1.168 0.226
Pb 0.549 1.788 2.413
Pb -1.055 -2.181 1.856
Cs 0.000 0.000 0.000
Ti 2.304 -1.561 4.495
```

## Properties
Total DFT energy (no corrections), eV per atom: -2.153
Formation energy from the elements, eV/atom: 1.8219
Crystal system: cubic


This record from Alexandria describes an optimized crystal structure of CsTiPb3. The functional is GGA-PBE.

Geometry as extended XYZ:
```
5
Lattice="-1.391 -2.957 4.506 -2.774 -3.597 -3.217 4.621 -3.049 -0.574" Properties=species:S:1:pos:R:3 pbc="T T T"
Pb -1.387 -1.798 -1.608
Pb 2.310 -1.525 -0.287
Pb -0.696 -1.478 2.253
Cs 0.228 -4.802 0.357
Ti 0.000 0.000 0.000
```

## Properties
Total DFT energy (no corrections), eV per atom: -3.994
Formation energy from the elements, eV/atom: -0.0190
Crystal system: cubic


This record from Alexandria describes an optimized crystal structure of CsTi3Pb. The functional is GGA-PBE.

Geometry as extended XYZ:
```
5
Lattice="-4.434 1.645 -1.614 -2.236 -3.918 2.150 -0.558 2.630 4.213" Properties=species:S:1:pos:R:3 pbc="T T T"
Pb -3.614 0.178 2.374
Cs 0.000 0.000 0.000
Ti -1.118 -1.959 1.075
Ti -0.279 1.315 2.106
Ti -2.217 0.822 -0.807
```

## Properties
Total DFT energy (no corrections), eV per atom: -3.817
Formation energy from the elements, eV/atom: 1.8320
Crystal system: cubic


This record from Alexandria describes an optimized crystal structure of Cs3TiPb. The functional is GGA-PBE.

Geometry as extended XYZ:
```
5
Lattice="-1.843 -6.373 0.223 6.377 -1.844 0.022 0.041 0.220 6.635" Properties=species:S:1:pos:R:3 pbc="T T T"
Pb 2.287 -3.998 3.440
Cs 3.189 -0.922 0.011
Cs 0.020 0.110 3.317
Cs -0.922 -3.187 0.112
Ti 0.000 0.000 0.000
```

## Properties
Total DFT energy (no corrections), eV per atom: -1.836
Formation energy from the elements, eV/atom: 0.9969
Crystal system: cubic